Material: Li2BeF4
Method: DFT, PBE
State: optimized geometry

The structure in POSCAR format:
```
Li2BeF4
1.0
-2.018 -2.621 3.218
4.149 -1.170 1.649
-1.163 4.812 -0.119
F Li Be
4 2 1
Direct
0.428 0.817 0.245
0.572 0.572 0.755
0.817 0.428 0.245
0.183 0.183 0.755
0.250 0.750 0.500
0.750 0.250 0.500
0.500 0.500 0.000
```

Its space group is I-42m (121). The total DFT energy (no corrections) is -0.38639 Ry per atom. The value obtained for the energy relative to the elements, uncorrected is -3.109 eV per atom. The magnetization comes out at 0.00 μB per formula unit.